1.
The following is a GGA-PBE calculation of CeTeAu2 after structural relaxation, from the Alexandria database.

Lattice parameters (Å, degrees): 5.132 5.132 5.133 60.00 60.00 60.00
Element x y z (fractional)
Te 0.000 0.000 0.000
Au 0.250 0.250 0.250
Au 0.750 0.750 0.750
Ce 0.500 0.500 0.500

Total DFT energy (no corrections) (eV per atom): -4.48

***

2.
The following is a GGA-PBE calculation of CeTeAu after structural relaxation, from the Alexandria database.

Lattice parameters (Å, degrees): 8.356 8.356 8.532 90.00 90.00 120.00
Element x y z (fractional)
Au 0.000 0.620 0.750
Au 0.620 0.000 0.750
Au 0.380 0.380 0.750
Au 0.620 0.000 0.250
Au 0.000 0.620 0.250
Au 0.380 0.380 0.250
Ce 0.000 0.000 0.750
Ce 0.000 0.000 0.250
Ce 0.333 0.667 0.000
Ce 0.333 0.667 0.500
Ce 0.667 0.333 0.000
Ce 0.667 0.333 0.500
Te 0.000 0.273 0.000
Te 0.273 0.000 0.000
Te 0.727 0.727 0.000
Te 0.000 0.273 0.500
Te 0.273 0.000 0.500
Te 0.727 0.727 0.500

Total DFT energy (no corrections) (eV per atom): -4.92
Distance to the lowest polymorph of the same formula (meV per atom): 59

***

3.
The following is a GGA-PBE calculation of Ce3Te2Au after structural relaxation, from the Alexandria database.

Lattice parameters (Å, degrees): 4.431 4.428 9.939 102.86 102.87 90.07
Element x y z (fractional)
Ce 0.934 0.936 0.874
Ce 0.270 0.272 0.546
Ce 0.598 0.600 0.202
Te 0.103 0.104 0.211
Te 0.766 0.767 0.537
Au 0.434 0.436 0.874

Total DFT energy (no corrections) (eV per atom): -5.61

***

4.
The following is a GGA-PBE calculation of CeTeAu4 after structural relaxation, from the Alexandria database.

Lattice parameters (Å, degrees): 5.723 5.723 5.723 60.00 60.00 60.00
Element x y z (fractional)
Te 0.250 0.250 0.250
Au 0.625 0.625 0.125
Au 0.625 0.125 0.625
Au 0.625 0.625 0.625
Au 0.125 0.625 0.625
Ce 0.000 0.000 0.000

Total DFT energy (no corrections) (eV per atom): -4.10

***

5.
The following is a GGA-PBE calculation of CeTeAu after structural relaxation, from the Alexandria database.

Lattice parameters (Å, degrees): 4.478 4.692 4.692 120.00 90.00 90.00
Element x y z (fractional)
Te 0.620 0.333 0.667
Au 0.325 0.667 0.333
Ce 0.055 0.000 0.000

Total DFT energy (no corrections) (eV per atom): -4.98
Distance to the lowest polymorph of the same formula (meV per atom): 0

***

6.
The following is a GGA-PBE calculation of Ce3Th12Au5 after structural relaxation, from the Alexandria database.

Lattice parameters (Å, degrees): 15.374 15.374 15.374 109.47 109.47 109.47
Element x y z (fractional)
Ce 0.750 0.375 0.125
Ce 0.875 0.750 0.125
Ce 0.375 0.750 0.625
Ce 0.250 0.125 0.375
Ce 0.875 0.125 0.250
Ce 0.375 0.625 0.250
Ce 0.625 0.375 0.750
Ce 0.125 0.875 0.750
Ce 0.750 0.875 0.625
Ce 0.625 0.250 0.375
Ce 0.125 0.250 0.875
Ce 0.250 0.625 0.875
Au 0.125 0.375 0.250
Au 0.000 0.500 0.000
Au 0.000 0.000 0.000
Au 0.375 0.250 0.125
Au 0.500 0.000 0.500
Au 0.500 0.500 0.000
Au 0.125 0.750 0.375
Au 0.750 0.125 0.875
Au 0.750 0.625 0.375
Au 0.375 0.125 0.750
Au 0.625 0.875 0.250
Au 0.500 0.500 0.500
Au 0.500 0.000 0.000
Au 0.000 0.000 0.500
Au 0.250 0.375 0.625
Au 0.250 0.875 0.125
Au 0.000 0.500 0.500
Au 0.875 0.250 0.625
Au 0.625 0.750 0.875
Au 0.875 0.625 0.750
Th 0.726 0.128 0.054
Th 0.329 0.554 0.427
Th 0.946 0.372 0.274
Th 0.554 0.226 0.128
Th 0.598 0.726 0.671
Th 0.946 0.573 0.171
Th 0.329 0.774 0.402
Th 0.073 0.902 0.128
Th 0.573 0.946 0.671
Th 0.726 0.598 0.171
Th 0.774 0.446 0.372
Th 0.829 0.927 0.054
Th 0.128 0.726 0.554
Th 0.372 0.427 0.098
Th 0.098 0.927 0.372
Th 0.402 0.128 0.573
Th 0.098 0.171 0.226
Th 0.446 0.671 0.073
Th 0.829 0.902 0.274
Th 0.128 0.402 0.073
Th 0.372 0.946 0.774
Th 0.573 0.628 0.402
Th 0.927 0.829 0.554
Th 0.774 0.329 0.902
Th 0.427 0.372 0.598
Th 0.073 0.171 0.446
Th 0.226 0.671 0.098
Th 0.171 0.098 0.726
Th 0.628 0.054 0.226
Th 0.872 0.598 0.927
Th 0.554 0.329 0.927
Th 0.598 0.872 0.427
Th 0.902 0.829 0.774
Th 0.902 0.073 0.628
Th 0.872 0.274 0.446
Th 0.171 0.073 0.946
Th 0.628 0.573 0.902
Th 0.427 0.054 0.329
Th 0.274 0.402 0.829
Th 0.226 0.554 0.628
Th 0.927 0.098 0.872
Th 0.671 0.226 0.598
Th 0.446 0.774 0.872
Th 0.054 0.427 0.829
Th 0.402 0.274 0.329
Th 0.054 0.628 0.726
Th 0.671 0.446 0.573
Th 0.274 0.872 0.946

Total DFT energy (no corrections) (eV per atom): -5.80
Formation energy (meV per atom): 359.7